one.
The following is a PBEsol calculation of SiC2 after structural relaxation, from Alexandria.

Results
* space-group type: P6_3/mmc (194)

Cell: 4.0137 4.0137 3.6783 Å, 90.00 90.00 120.00°
With the nearest neighbours (Å) after each atom.
Fractional coordinates of all 6 atoms:
Si 0.3333 0.6667 0.2500  2 C 1.84
Si 0.6667 0.3333 0.7500  2 C 1.84
C 0.0000 0.0000 0.0000  2 C 1.84
C 0.0000 0.0000 0.5000  2 C 1.84
C 0.3333 0.6667 0.7500  2 Si 1.84
C 0.6667 0.3333 0.2500  2 Si 1.84



two.
The following is a PBEsol calculation of SiC2 after structural relaxation, from Alexandria.

Results
* space-group type: P6_3/mmc (194)

Cell: 2.8491 2.8491 7.6030 Å, 90.00 90.00 120.00°
With the nearest neighbours (Å) after each atom.
Fractional coordinates of all 6 atoms:
Si 0.3333 0.6667 0.2500  6 C 2.05
Si 0.6667 0.3333 0.7500  6 C 2.05
C 0.0000 0.0000 0.0880  1 C 1.34
C 0.0000 0.0000 0.4120  1 C 1.34
C 0.0000 0.0000 0.5880  1 C 1.34
C 0.0000 0.0000 0.9120  1 C 1.34



Of them, two has the highest stability.



one.
The following is a PBEsol calculation of SiC2 after structural relaxation, from Alexandria.

Results
* space-group type: P4_2/mmc (131)

Cell: 3.1576 3.1576 6.8770 Å, 90.00 90.00 90.00°
With the nearest neighbours (Å) after each atom.
Fractional coordinates of all 6 atoms:
Si 0.0000 0.0000 0.2500  4 C 1.89
Si 0.0000 0.0000 0.7500  4 C 1.89
C 0.0000 0.5000 0.0992  1 C 1.36
C 0.0000 0.5000 0.9008  1 C 1.36
C 0.5000 0.0000 0.4008  1 C 1.36
C 0.5000 0.0000 0.5992  1 C 1.36



two.
The following is a PBEsol calculation of SiC2 after structural relaxation, from Alexandria.

Results
* space-group type: P4_2/mnm (136)

Cell: 4.5182 4.5182 2.9223 Å, 90.00 90.00 90.00°
With the nearest neighbours (Å) after each atom.
Fractional coordinates of all 6 atoms:
Si 0.0000 0.0000 0.0000  6 C 1.87-1.97
Si 0.5000 0.5000 0.5000  6 C 1.87-1.97
C 0.2073 0.2073 0.5000  3 Si 1.87-1.97
C 0.2927 0.7073 0.0000  3 Si 1.87-1.97
C 0.7073 0.2927 0.0000  3 Si 1.87-1.97
C 0.7927 0.7927 0.5000  3 Si 1.87-1.97



three.
The following is a PBEsol calculation of SiC2 after structural relaxation, from Alexandria.

Results
* space-group type: Cm (8)

Cell: 4.3677 4.3677 4.8716 Å, 91.05 91.05 36.81°
With the nearest neighbours (Å) after each atom.
Fractional coordinates of all 6 atoms:
Si 0.0000 0.0000 0.0000  5 C 1.86-2.01
Si 0.6964 0.6964 0.5012  3 C 1.85-1.95
C 0.1869 0.1869 0.2184  1 C 1.44
C 0.3255 0.3255 0.0458  2 C 1.44-1.55
C 0.3344 0.3344 0.7281  2 C 1.49-1.55
C 0.5135 0.5135 0.7130  1 C 1.49



Of them, one has the highest stability.



one.
The following is a PBEsol calculation of Ti2SnC after structural relaxation, from Alexandria.

Results
* space-group type: P6_3/mmc (194)

Cell: 3.1408 3.1408 13.6257 Å, 90.00 90.00 120.00°
With the nearest neighbours (Å) after each atom.
Fractional coordinates of all 8 atoms:
Ti 0.3333 0.6667 0.0813  3 C 2.13
Ti 0.3333 0.6667 0.4187  3 C 2.13
Ti 0.6667 0.3333 0.5813  3 C 2.13
Ti 0.6667 0.3333 0.9187  3 C 2.13
Sn 0.3333 0.6667 0.7500  6 Ti 2.93, 6 Sn 3.14
Sn 0.6667 0.3333 0.2500  6 Ti 2.93, 6 Sn 3.14
C 0.0000 0.0000 0.0000  6 Ti 2.13
C 0.0000 0.0000 0.5000  6 Ti 2.13



two.
The following is a PBEsol calculation of Ti2SnC after structural relaxation, from Alexandria.

Results
* space-group type: Fm-3m (225)

Cell: 4.3833 4.3833 4.3833 Å, 60.00 60.00 60.00°
With the nearest neighbours (Å) after each atom.
Fractional coordinates of all 4 atoms:
Ti 0.2500 0.2500 0.2500  4 Sn 2.68, 4 C 2.68
Ti 0.7500 0.7500 0.7500  4 C 2.68, 4 Sn 2.68
Sn 0.0000 0.0000 0.0000  8 Ti 2.68
C 0.5000 0.5000 0.5000  8 Ti 2.68



Of them, one has the highest stability.



one.
The following is a PBEsol calculation of SrC after structural relaxation, from Alexandria.

Results
* space-group type: C2/m (12)

Cell: 4.2796 4.2796 7.1880 Å, 91.24 91.24 54.90°
With the nearest neighbours (Å) after each atom.
Fractional coordinates of all 4 atoms:
Sr 0.1345 0.1345 0.2265  5 C 2.61-2.84
Sr 0.8655 0.8655 0.7735  5 C 2.61-2.84
C 0.4310 0.4310 0.0504  1 C 1.29
C 0.5690 0.5690 0.9496  1 C 1.29



two.
The following is a PBEsol calculation of SrC after structural relaxation, from Alexandria.

Results
* space-group type: P-62m (189)

Cell: 6.7873 6.7873 3.5255 Å, 90.00 90.00 120.00°
With the nearest neighbours (Å) after each atom.
Fractional coordinates of all 6 atoms:
Sr 0.0000 0.3804 0.0000  5 C 2.58-2.76
Sr 0.3804 0.0000 0.0000  5 C 2.58-2.76
Sr 0.6196 0.6196 0.0000  5 C 2.58-2.76
C 0.0000 0.0000 0.0000  3 Sr 2.58
C 0.3333 0.6667 0.5000  6 Sr 2.76
C 0.6667 0.3333 0.5000  6 Sr 2.76



three.
The following is a PBEsol calculation of SrC after structural relaxation, from Alexandria.

Results
* space-group type: P6_3/mmc (194)

Cell: 5.1397 5.1397 6.5561 Å, 90.00 90.00 120.00°
With the nearest neighbours (Å) after each atom.
Fractional coordinates of all 8 atoms:
Sr 0.0000 0.0000 0.2500  5 Sr 2.97-3.28, 6 C 3.04
Sr 0.0000 0.0000 0.7500  5 Sr 2.97-3.28, 6 C 3.04
Sr 0.3333 0.6667 0.2500  2 C 2.62
Sr 0.6667 0.3333 0.7500  2 C 2.62
C 0.3333 0.6667 0.6498  1 C 1.31
C 0.3333 0.6667 0.8502  1 C 1.31
C 0.6667 0.3333 0.1498  1 C 1.31
C 0.6667 0.3333 0.3502  1 C 1.31



Of them, one has the highest stability.



one.
The following is a PBEsol calculation of SrTlC2 after structural relaxation, from Alexandria.

Results
* space-group type: I-42d (122)

Cell: 7.8390 7.8390 7.8390 Å, 144.94 144.94 50.43°
With the nearest neighbours (Å) after each atom.
Fractional coordinates of all 8 atoms:
Sr 0.0000 0.0000 0.0000  4 C 2.75
Sr 0.7500 0.2500 0.5000  4 C 2.75
Tl 0.2500 0.7500 0.5000  4 C 2.22
Tl 0.5000 0.5000 0.0000  4 C 2.22
C 0.2438 0.6250 0.1188  2 Tl 2.22
C 0.3750 0.4938 0.6188  2 Tl 2.22
C 0.5062 0.1250 0.8812  2 Tl 2.22
C 0.8750 0.7562 0.3812  2 Tl 2.22



two.
The following is a PBEsol calculation of SrTlC2 after structural relaxation, from Alexandria.

Results
* space-group type: Fm-3m (225)

Cell: 4.5068 4.5068 4.5068 Å, 60.00 60.00 60.00°
With the nearest neighbours (Å) after each atom.
Fractional coordinates of all 4 atoms:
Sr 0.0000 0.0000 0.0000  8 C 2.76
Tl 0.5000 0.5000 0.5000  8 C 2.76
C 0.2500 0.2500 0.2500  4 Tl 2.76, 4 Sr 2.76
C 0.7500 0.7500 0.7500  4 Tl 2.76, 4 Sr 2.76



Of them, one has the highest stability.



one.
The following is a PBEsol calculation of TaC3 after structural relaxation, from Alexandria.

Results
* space-group type: Cmcm (63)

Cell: 5.1525 5.1525 4.2140 Å, 90.00 90.00 139.73°
With the nearest neighbours (Å) after each atom.
Fractional coordinates of all 8 atoms:
Ta 0.1040 0.8960 0.7500  8 C 2.22-2.37
Ta 0.8960 0.1040 0.2500  8 C 2.22-2.37
C 0.2032 0.7968 0.2500  2 C 1.49
C 0.2062 0.3995 0.7500  2 C 1.40-1.49
C 0.3995 0.2062 0.2500  2 C 1.40-1.49
C 0.6005 0.7938 0.7500  2 C 1.40-1.49
C 0.7938 0.6005 0.2500  2 C 1.40-1.49
C 0.7968 0.2032 0.7500  2 C 1.49



two.
The following is a PBEsol calculation of TaC3 after structural relaxation, from Alexandria.

Results
* space-group type: R-3m (166)

Cell: 5.6035 5.6035 5.6035 Å, 27.83 27.83 27.83°
With the nearest neighbours (Å) after each atom.
Fractional coordinates of all 4 atoms:
Ta 0.0000 0.0000 0.0000  6 C 2.31
C 0.2276 0.2276 0.2276  3 C 1.84
C 0.5000 0.5000 0.5000  6 C 1.84
C 0.7724 0.7724 0.7724  3 C 1.84



three.
The following is a PBEsol calculation of TaC3 after structural relaxation, from Alexandria.

Results
* space-group type: Pmmn (59)

Cell: 4.0634 4.4265 3.9733 Å, 90.00 90.00 90.00°
With the nearest neighbours (Å) after each atom.
Fractional coordinates of all 8 atoms:
Ta 0.2500 0.2500 0.1408  6 C 2.18-2.36
Ta 0.7500 0.7500 0.8592  6 C 2.18-2.36
C 0.2500 0.5959 0.5320  1 C 1.36
C 0.2500 0.7500 0.1620  2 C 1.62
C 0.2500 0.9041 0.5320  1 C 1.36
C 0.7500 0.0959 0.4680  1 C 1.36
C 0.7500 0.2500 0.8380  2 C 1.62
C 0.7500 0.4041 0.4680  1 C 1.36



four.
The following is a PBEsol calculation of TaC3 after structural relaxation, from Alexandria.

Results
* space-group type: Cmmm (65)

Cell: 5.3412 5.3412 3.1890 Å, 90.00 90.00 150.55°
With the nearest neighbours (Å) after each atom.
Fractional coordinates of all 4 atoms:
Ta 0.0000 0.0000 0.0000  4 C 2.09
C 0.2276 0.7724 0.0000  2 C 1.43
C 0.5000 0.5000 0.5000  4 Ta 2.09
C 0.7724 0.2276 0.0000  2 C 1.43



Of them, one has the highest stability.